{"formula": "YVP2O", "functional": "PBE+U", "state": "optimized geometry", "cell": [[-0.7106, -4.8800, -2.0485], [1.1580, -2.1601, 4.7443], [-4.0000, 0.1450, 1.0423]], "species": ["P", "P", "O", "V", "Y"], "frac_coords": [[0.5000, 0.0000, 0.0000], [0.0000, 0.5000, 0.0000], [0.0000, 0.0000, 0.5000], [0.5000, 0.5000, 0.5000], [0.0000, 0.0000, 0.0000]], "dos_at_fermi_per_ev_atom": 1.16, "relative_energy_kcal_per_mol_atoms": 29.06, "e_tot_ev_per_atom": -5.49, "m_tot_mub_per_atom": 0.098, "vol_a3_per_atom": 23.6, "crystal_system": "tetragonal"}